! GGA-PBE EuHo3Pt, relaxed; values from VASP
&SYSTEM
  ibrav = 0, nat = 5, ntyp = 3
/
ATOMIC_SPECIES
Eu 151.96 Eu.upf
Ho 164.93 Ho.upf
Pt 195.08 Pt.upf
CELL_PARAMETERS angstrom
5.508 0.000 0.000
0.000 5.508 0.000
0.000 0.000 5.508
ATOMIC_POSITIONS crystal
Eu 0.000 0.000 0.000
Ho 0.000 0.500 0.500
Ho 0.500 0.000 0.500
Ho 0.500 0.500 0.000
Pt 0.500 0.500 0.500
! **Crystal system**: cubic
! **Space-group type**: Pm-3m
! **Formation enthalpy at 0 K**: -421 meV/atom